1.
Entry from the Alexandria database: a relaxed structure of ZnHg3Au (PBE).

Density of states at the Fermi level: 1.2 states/eV per cell
Crystal system: cubic
ΔE to the lowest computed polymorph: 0.000 eV/atom
Theoretical density: 8.71 g/cm3

Cell lengths 5.482, 5.482, 5.482 Å; angles 90.00, 90.00, 90.00 degrees
Space group Pm-3m (No. 221)
One atom of each set of equivalent atoms:
Zn: 0.000 0.000 0.000
Hg: 0.000 0.500 0.500
Au: 0.500 0.500 0.500

=====

2.
Entry from the Alexandria database: a relaxed structure of ZrNb2Te6 (PBE).

Density of states at the Fermi level: 8.9 states/eV per cell
Crystal system: monoclinic
Theoretical density: 6.79 g/cm3
Formation energy from raw total energies: -563 meV per atom

Cell lengths 15.127, 3.698, 9.699 Å; angles 90.00, 109.94, 90.00 degrees
Space group C2/m (No. 12)
One atom of each set of equivalent atoms:
Zr: 0.000 0.000 0.000
Nb: 0.141 0.500 0.294
Te: 0.007 0.000 0.309
Te: 0.153 0.500 0.021
Te: 0.204 0.500 0.615

=====

3.
Entry from the Alexandria database: a relaxed structure of Li3TbMg3 (PBE).

Density of states at the Fermi level: 10.6 states/eV per cell
Crystal system: cubic
Theoretical density: 2.41 g/cm3
Uncorrected energy: -24.05 eV/cell

Cell lengths 7.033, 7.033, 7.033 Å; angles 90.00, 90.00, 90.00 degrees
Space group Pm-3n (No. 223)
One atom of each set of equivalent atoms:
Li: 0.000 0.250 0.500
Tb: 0.000 0.000 0.000
Mg: 0.000 0.500 0.250

=====

4.
Entry from the Alexandria database: a relaxed structure of YCrC3 (PBE).

Density of states at the Fermi level: 2.7 states/eV per cell
Crystal system: cubic
ΔE to the lowest computed polymorph: 0.000 eV/atom
Theoretical density: 5.16 g/cm3

Cell lengths 3.848, 3.848, 3.848 Å; angles 90.00, 90.00, 90.00 degrees
Space group Pm-3m (No. 221)
One atom of each set of equivalent atoms:
Y: 0.000 0.000 0.000
Cr: 0.500 0.500 0.500
C: 0.000 0.500 0.500

=====

5.
Entry from the Alexandria database: a relaxed structure of Nd4Dy3Sc (PBE).

Density of states at the Fermi level: 28.9 states/eV per cell
Crystal system: orthorhombic
ΔE to the lowest computed polymorph: 0.000 eV/atom
Theoretical density: 7.05 g/cm3

Cell lengths 11.477, 7.277, 6.262 Å; angles 90.00, 90.00, 90.00 degrees
Space group Pmn2_1 (No. 31)
One atom of each set of equivalent atoms:
Nd: 0.000 0.129 0.000
Nd: 0.000 0.868 0.523
Nd: 0.241 0.131 0.353
Dy: 0.000 0.622 0.017
Dy: 0.250 0.382 0.845
Sc: 0.000 0.385 0.512

=====

6.
Entry from the Alexandria database: a relaxed structure of LiY3Mg2 (PBE).

Density of states at the Fermi level: 7.5 states/eV per cell
Crystal system: tetragonal
Theoretical density: 3.31 g/cm3
Uncorrected energy: -24.69 eV/cell

Cell lengths 3.781, 3.781, 11.310 Å; angles 90.00, 90.00, 90.00 degrees
Space group P4/mmm (No. 123)
One atom of each set of equivalent atoms:
Li: 0.000 0.000 0.000
Y: 0.500 0.500 0.167
Y: 0.500 0.500 0.500
Mg: 0.000 0.000 0.334

=====

7.
Entry from the Alexandria database: a relaxed structure of Ba3BiSb (PBE).

Density of states at the Fermi level: 1.1 states/eV per cell
Crystal system: orthorhombic
ΔE to the lowest computed polymorph: 0.078 eV/atom
Theoretical density: 5.00 g/cm3
Formation energy from raw total energies: -876 meV per atom

Cell lengths 11.572, 17.259, 4.939 Å; angles 90.00, 90.00, 90.00 degrees
Space group C222 (No. 21)
One atom of each set of equivalent atoms:
Ba: 0.000 0.145 0.000
Ba: 0.184 0.385 0.499
Bi: 0.000 0.000 0.500
Bi: 0.000 0.500 0.000
Sb: 0.250 0.250 0.999

=====

8.
Entry from the Alexandria database: a relaxed structure of Sc3TaPb (PBE).

Density of states at the Fermi level: 4.7 states/eV per cell
Crystal system: cubic
ΔE to the lowest computed polymorph: 0.000 eV/atom
Theoretical density: 6.36 g/cm3

Cell lengths 5.149, 5.149, 5.149 Å; angles 90.00, 90.00, 90.00 degrees
Space group Pm-3m (No. 221)
One atom of each set of equivalent atoms:
Sc: 0.000 0.000 0.500
Ta: 0.000 0.000 0.000
Pb: 0.500 0.500 0.500

=====

9.
Entry from the Alexandria database: a relaxed structure of BaAs2WBr (PBE).

Density of states at the Fermi level: 6.3 states/eV per cell
Crystal system: tetragonal
ΔE to the lowest computed polymorph: 1.320 eV/atom
Theoretical density: 3.86 g/cm3
Formation energy from raw total energies: 1628 meV per atom

Cell lengths 6.307, 6.307, 5.963 Å; angles 90.00, 90.00, 90.00 degrees
Space group P4/mmm (No. 123)
One atom of each set of equivalent atoms:
Ba: 0.000 0.000 0.000
As: 0.000 0.500 0.000
W: 0.500 0.500 0.500
Br: 0.000 0.000 0.500

=====

10.
Entry from the Alexandria database: a relaxed structure of BaNaSr5Ca2 (PBE).

Density of states at the Fermi level: 46.1 states/eV per cell
Crystal system: orthorhombic
Theoretical density: 2.44 g/cm3
Uncorrected energy: -60.54 eV/cell

Cell lengths 4.147, 21.151, 21.072 Å; angles 90.00, 90.00, 90.00 degrees
Space group Cmc2_1 (No. 36)
One atom of each set of equivalent atoms:
Ba: 0.000 0.113 0.000
Na: 0.000 0.330 0.640
Sr: 0.000 0.076 0.807
Sr: 0.000 0.104 0.268
Sr: 0.000 0.182 0.536
Sr: 0.000 0.260 0.868
Sr: 0.000 0.476 0.132
Ca: 0.000 0.295 0.207
Ca: 0.000 0.451 0.928

=====

11.
Entry from the Alexandria database: a relaxed structure of Li5Al3F12 (PBE).

Density of states at the Fermi level: 15.6 states/eV per cell
Crystal system: cubic
Theoretical density: 2.48 g/cm3
Formation energy from raw total energies: -2868 meV per atom

Cell lengths 12.263, 12.263, 12.263 Å; angles 90.00, 90.00, 90.00 degrees
Space group Ia-3d (No. 230)
One atom of each set of equivalent atoms:
Li: 0.000 0.000 0.000
Li: 0.000 0.250 0.375
Al: 0.000 0.250 0.125
F: 0.022 0.046 0.340

=====

12.
Entry from the Alexandria database: a relaxed structure of HfSnHRh2 (PBE).

Density of states at the Fermi level: 3.4 states/eV per cell
Crystal system: tetragonal
Theoretical density: 11.75 g/cm3
Uncorrected energy: -34.26 eV/cell

Cell lengths 4.172, 4.172, 4.093 Å; angles 90.00, 90.00, 90.00 degrees
Space group P4/mmm (No. 123)
One atom of each set of equivalent atoms:
Hf: 0.000 0.000 0.000
Sn: 0.500 0.500 0.000
H: 0.000 0.000 0.500
Rh: 0.000 0.500 0.500

=====

13.
Entry from the Alexandria database: a relaxed structure of SrYMo2W (PBE).

Density of states at the Fermi level: 8.9 states/eV per cell
Crystal system: tetragonal
Theoretical density: 7.59 g/cm3
Uncorrected energy: -29.16 eV/cell

Cell lengths 4.820, 4.820, 5.198 Å; angles 90.00, 90.00, 90.00 degrees
Space group P4/mmm (No. 123)
One atom of each set of equivalent atoms:
Sr: 0.000 0.000 0.000
Y: 0.000 0.000 0.500
Mo: 0.000 0.500 0.500
W: 0.500 0.500 0.000

=====

14.
Entry from the Alexandria database: a relaxed structure of SiSb3S (PBE).

Density of states at the Fermi level: 3.1 states/eV per cell
Crystal system: cubic
ΔE to the lowest computed polymorph: 0.000 eV/atom
Theoretical density: 5.05 g/cm3
Formation energy from raw total energies: 808 meV per atom

Cell lengths 5.191, 5.191, 5.191 Å; angles 90.00, 90.00, 90.00 degrees
Space group Pm-3m (No. 221)
One atom of each set of equivalent atoms:
Si: 0.000 0.000 0.000
Sb: 0.000 0.500 0.500
S: 0.500 0.500 0.500

=====

15.
Entry from the Alexandria database: a relaxed structure of Mn2NiB2 (PBE).

Density of states at the Fermi level: 8.6 states/eV per cell
Crystal system: tetragonal
ΔE to the lowest computed polymorph: 0.000 eV/atom
Theoretical density: 7.31 g/cm3

Cell lengths 5.335, 5.335, 3.036 Å; angles 90.00, 90.00, 90.00 degrees
Space group P4/mbm (No. 127)
One atom of each set of equivalent atoms:
Mn: 0.171 0.329 0.000
Ni: 0.000 0.000 0.500
B: 0.119 0.619 0.500

=====

16.
Entry from the Alexandria database: a relaxed structure of Al6Ga12Rh (PBE).

Density of states at the Fermi level: 6.1 states/eV per cell
Crystal system: triclinic
ΔE to the lowest computed polymorph: 0.000 eV/atom
Theoretical density: 5.28 g/cm3

Cell lengths 5.498, 8.178, 8.290 Å; angles 101.71, 100.58, 102.49 degrees
Space group P-1 (No. 2)
One atom of each set of equivalent atoms:
Al: 0.159 0.261 0.276
Al: 0.255 0.286 0.635
Al: 0.307 0.660 0.714
Ga: 0.121 0.660 0.002
Ga: 0.179 0.620 0.325
Ga: 0.239 0.969 0.397
Ga: 0.265 0.990 0.732
Ga: 0.270 0.000 0.071
Ga: 0.370 0.311 0.973
Rh: 0.500 0.500 0.500

=====

17.
Entry from the Alexandria database: a relaxed structure of Ac2NdAs4Rh3 (PBE).

Density of states at the Fermi level: 5.1 states/eV per cell
Crystal system: tetragonal
Theoretical density: 9.02 g/cm3
Uncorrected energy: -63.29 eV/cell

Cell lengths 4.458, 4.458, 11.172 Å; angles 90.00, 90.00, 90.00 degrees
Space group P-4m2 (No. 115)
One atom of each set of equivalent atoms:
Ac: 0.000 0.500 0.221
Nd: 0.000 0.000 0.500
As: 0.000 0.000 0.000
As: 0.000 0.500 0.668
As: 0.500 0.500 0.000
Rh: 0.000 0.500 0.897
Rh: 0.500 0.500 0.500

=====

18.
Entry from the Alexandria database: a relaxed structure of B2SeN (PBE).

Density of states at the Fermi level: 10.1 states/eV per cell
Crystal system: cubic
ΔE to the lowest computed polymorph: 2.128 eV/atom
Theoretical density: 4.86 g/cm3
Formation energy from raw total energies: 2380 meV per atom

Cell lengths 5.392, 5.392, 5.392 Å; angles 90.00, 90.00, 90.00 degrees
Space group Fm-3m (No. 225)
One atom of each set of equivalent atoms:
B: 0.250 0.250 0.250
Se: 0.000 0.000 0.000
N: 0.000 0.000 0.500

=====

19.
Entry from the Alexandria database: a relaxed structure of Hf2Re2Tc (PBE).

Density of states at the Fermi level: 4.1 states/eV per cell
Crystal system: tetragonal
ΔE to the lowest computed polymorph: 0.245 eV/atom
Theoretical density: 14.34 g/cm3

Cell lengths 3.469, 3.469, 15.920 Å; angles 90.00, 90.00, 90.00 degrees
Space group I4/mmm (No. 139)
One atom of each set of equivalent atoms:
Hf: 0.000 0.000 0.097
Re: 0.000 0.500 0.250
Tc: 0.000 0.000 0.500

=====

20.
Entry from the Alexandria database: a relaxed structure of CdSiP2 (PBE).

Crystal system: tetragonal
ΔE to the lowest computed polymorph: 0.102 eV/atom
Theoretical density: 3.88 g/cm3
Formation energy from raw total energies: -98 meV per atom

Cell lengths 3.809, 3.809, 5.975 Å; angles 90.00, 90.00, 90.00 degrees
Space group P-4m2 (No. 115)
One atom of each set of equivalent atoms:
Cd: 0.000 0.000 0.000
Si: 0.500 0.500 0.500
P: 0.000 0.500 0.717